The following is a PBE-GGA calculation of an optimized crystal structure of Pm3Sm8Er, from the Alexandria database.

Geometry as extended XYZ:
```
12
Lattice="8.3364 -1.3239 -2.3408 -5.9463 6.3009 -1.2919 1.1496 1.3239 8.5822" Properties=species:S:1:pos:R:3 pbc="T T T"
Pm 0.0155 4.3635 -0.0236
Pm 3.5242 1.9374 4.9731
Pm -2.3984 3.8124 3.6452
Sm 2.9127 1.2694 0.5948
Sm 0.6239 5.0365 4.3594
Sm 4.0891 3.7076 -1.1932
Sm -0.5463 2.5883 6.1380
Sm 0.3689 1.8995 2.8454
Sm 5.5775 0.5757 -1.5536
Sm -2.0377 5.7252 6.5031
Sm 3.1707 4.4012 2.1043
Er 0.0000 0.0000 0.0000
```

Results
Symmetry   Immm, No. 71
DFT formation energy   350.9 kJ/mol of formula units
DOS at the Fermi energy   1.2768 states/eV per atom


The following is a PBE-GGA calculation of an optimized crystal structure of CdMo2Os, from the Alexandria database.

Geometry as extended XYZ:
```
4
Lattice="-4.1678 -1.4323 1.0009 -1.1101 -4.3360 -0.6247 -0.6672 -2.6978 3.5638" Properties=species:S:1:pos:R:3 pbc="T T T"
Cd -2.9725 -4.2331 1.9700
Mo 0.0000 0.0000 0.0000
Mo -1.4863 -2.1165 0.9850
Os -4.4588 -6.3496 2.9550
```

Results
Symmetry   F-43m, No. 216
DFT formation energy   201.9 kJ/mol of formula units
DOS at the Fermi energy   0.9126 states/eV per atom


The following is a PBE-GGA calculation of an optimized crystal structure of Sr2LiAs4Pt3, from the Alexandria database.

Geometry as extended XYZ:
```
10
Lattice="-0.2915 4.3741 -0.8127 -2.1101 0.5811 3.8844 9.0623 1.4774 4.7018" Properties=species:S:1:pos:R:3 pbc="T T T"
Sr 2.1470 2.5608 0.7832
Sr 5.7146 1.3942 5.4544
Li 3.3304 3.2163 3.8867
As -1.2008 2.4776 1.5359
As 0.0000 0.0000 0.0000
As 5.6055 3.1247 2.5775
As 2.2561 0.8303 3.6601
Pt 4.5312 0.7387 2.3509
Pt 7.8228 3.4861 3.7280
Pt 0.0387 0.4688 2.5097
```

Results
Symmetry   P-4m2, No. 115
DFT formation energy   -809.0 kJ/mol of formula units
DOS at the Fermi energy   0.4637 states/eV per atom


The following is a PBE-GGA calculation of an optimized crystal structure of AlTcNi2Mo, from the Alexandria database.

Geometry as extended XYZ:
```
5
Lattice="-1.0694 -3.3872 2.0566 3.9374 0.0947 2.2034 -1.6969 2.3164 2.9327" Properties=species:S:1:pos:R:3 pbc="T T T"
Ni -0.8484 1.1582 1.4664
Ni -0.5347 -1.6936 1.0283
Mo 0.5856 -0.4880 3.5964
Tc 1.9687 0.0473 1.1017
Al 0.0000 0.0000 0.0000
```

Results
Symmetry   P4/mmm, No. 123
DFT formation energy   493.0 kJ/mol of formula units
DOS at the Fermi energy   1.1862 states/eV per atom


The following is a PBE-GGA calculation of an optimized crystal structure of NaPu2USe4, from the Alexandria database.

Geometry as extended XYZ:
```
8
Lattice="4.0848 0.0000 0.0000 0.0000 7.1264 -0.1459 0.0000 2.5036 6.8691" Properties=species:S:1:pos:R:3 pbc="T T T"
Na 2.0424 3.5632 -0.0730
Pu 0.0000 2.5036 6.8691
Pu 2.0424 1.2518 3.4346
U 0.0000 4.8150 3.3616
Se 0.0000 7.2036 5.0018
Se 4.0848 2.4264 1.7214
Se 2.0424 5.9641 1.6203
Se 2.0424 3.6659 5.1029
```

Results
Symmetry   P2/m, No. 10
Formation energy (no corrections)   -10.402 eV/f.u.
DOS at the Fermi energy   3.4735 states/eV per atom


The following is a PBE-GGA calculation of an optimized crystal structure of Ba6GePt2Br3, from the Alexandria database.

Geometry as extended XYZ:
```
12
Lattice="4.6544 0.0000 0.0000 0.0000 9.8611 -0.0179 -2.3272 -3.2262 10.1328" Properties=species:S:1:pos:R:3 pbc="T T T"
Ba 0.0000 6.6337 6.8813
Ba 2.3272 4.4242 3.5589
Ba 2.3272 0.0013 3.2337
Ba 0.0000 2.3013 0.1814
Ba 2.3272 4.3337 9.9336
Ba 0.0000 2.2107 6.5561
Ge 2.3272 0.0000 0.0000
Pt 2.3272 4.3996 6.7101
Pt 0.0000 2.2353 3.4049
Br 2.3272 4.9306 -0.0089
Br 2.3272 -0.5033 6.7663
Br 0.0000 7.1382 3.3487
```

Results
Symmetry   C2/m, No. 12
Formation energy (no corrections)   -14.737 eV/f.u.
DOS at the Fermi energy   0.5209 states/eV per atom


The following is a PBE-GGA calculation of an optimized crystal structure of YSc2Cr, from the Alexandria database.

Geometry as extended XYZ:
```
4
Lattice="0.0000 3.5948 3.5948 3.5948 0.0000 3.5948 3.5948 3.5948 0.0000" Properties=species:S:1:pos:R:3 pbc="T T T"
Y 3.5948 3.5948 3.5948
Cr 0.0000 0.0000 0.0000
Sc 1.7974 1.7974 1.7974
Sc 5.3921 5.3921 5.3921
```

Results
Symmetry   Fm-3m, No. 225
DFT formation energy   116.7 kJ/mol of formula units
DOS at the Fermi energy   1.3314 states/eV per atom


The following is a PBE-GGA calculation of an optimized crystal structure of Li2Ti2Pt3, from the Alexandria database.

Geometry as extended XYZ:
```
7
Lattice="4.2676 -0.0056 -1.1846 -2.3042 3.7924 -0.0006 -0.2524 -0.1502 7.2907" Properties=species:S:1:pos:R:3 pbc="T T T"
Li 0.7272 0.4428 2.5975
Li 0.9837 3.1937 3.5080
Ti 2.3707 1.4394 0.2609
Ti -0.6597 2.1971 5.8446
Pt 0.0000 0.0000 0.0000
Pt 1.4307 0.8718 5.0988
Pt 0.2802 2.7647 1.0067
```

Results
Symmetry   C2/m, No. 12
DFT formation energy   -472.9 kJ/mol of formula units
DOS at the Fermi energy   0.5774 states/eV per atom


The following is a PBE-GGA calculation of an optimized crystal structure of Pm3NdY2Bi6, from the Alexandria database.

Geometry as extended XYZ:
```
12
Lattice="-3.5028 -2.7338 -1.0030 4.8204 -7.2005 2.7916 -2.9074 4.3101 8.7491" Properties=species:S:1:pos:R:3 pbc="T T T"
Pm 0.6588 -4.9672 0.8943
Pm -4.0571 -0.6072 5.4799
Pm 2.4673 -5.0170 5.0577
Nd -1.7514 -1.3669 -0.5015
Y -1.6394 -4.2074 6.8491
Y 0.0496 -1.4169 3.6885
Bi 1.3008 -4.6130 8.0304
Bi -0.5232 -4.5507 3.8870
Bi -2.8905 -1.0112 2.5072
Bi 1.1987 -1.8059 0.7360
Bi -2.7885 -3.8183 9.8016
Bi -1.0665 -1.0736 6.6506
```

Results
Symmetry   C2/m, No. 12
DFT formation energy   -1071.5 kJ/mol of formula units
DOS at the Fermi energy   0.1692 states/eV per atom


The following is a PBE-GGA calculation of an optimized crystal structure of BaIrOs2, from the Alexandria database.

Geometry as extended XYZ:
```
4
Lattice="-1.0493 2.0565 -4.3593 -1.1240 -3.9890 -2.6756 -1.9205 1.2411 4.3710" Properties=species:S:1:pos:R:3 pbc="T T T"
Ir -2.0282 1.1657 -1.7529
Os 0.0000 0.0000 0.0000
Os -2.0656 -1.8570 -0.9110
Ba -1.0867 -0.9662 -3.5174
```

Results
Symmetry   I-4m2, No. 119
DFT formation energy   557.6 kJ/mol of formula units
DOS at the Fermi energy   1.6031 states/eV per atom


The following is a PBE-GGA calculation of an optimized crystal structure of La6Pr2Dy3, from the Alexandria database.

Geometry as extended XYZ:
```
11
Lattice="-5.6863 -1.5539 -2.4342 2.6245 -7.6724 1.4389 -7.3772 -12.1247 5.3660" Properties=species:S:1:pos:R:3 pbc="T T T"
La -4.2188 -13.8414 4.5858
La -9.9326 -11.7693 2.7460
La -6.2202 -7.5096 -0.2151
La -0.5064 -9.5817 1.6247
La -6.7732 -13.4257 1.9801
La -3.6658 -7.9253 2.3906
Pr -3.1004 -5.6040 -0.4094
Pr -7.3386 -15.7470 4.7801
Dy 0.0000 0.0000 0.0000
Dy -3.6379 -11.5196 1.7841
Dy -6.8011 -9.8314 2.5866
```

Results
Symmetry   P-1, No. 2
DFT formation energy   23.0 kJ/mol of formula units
DOS at the Fermi energy   1.7621 states/eV per atom